# NbCu3Au | Alexandria | PBE | relaxed
data_NbCu3Au
_chemical_formula_sum 'Nb1 Cu3 Au1'
_symmetry_space_group_name_H-M 'P m -3 m'
_symmetry_Int_Tables_number 221
_symmetry_space_group_name_Hall '-P 4 2 3'
_cell_length_a 4.7406
_cell_length_b 4.7406
_cell_length_c 4.7406
_cell_angle_alpha 90.00
_cell_angle_beta 90.00
_cell_angle_gamma 90.00
loop_
_atom_site_label
_atom_site_type_symbol
_atom_site_fract_x
_atom_site_fract_y
_atom_site_fract_z
_atom_site_occupancy
Nb1 Nb 0.0000 0.0000 0.0000 1
Cu1 Cu 0.0000 0.0000 0.5000 1
Au1 Au 0.5000 0.5000 0.5000 1
# Final energy: -18.19 eV for the cell shown
# N(E_F): 3.168 states/eV/f.u.
# Crystal system: cubic